Below is a relaxed structure of Li3CdSn3, with properties calculated at the GGA-PBE level.

Values from the calculation:
For the density of states at the Fermi level, the calculation gives 2.845 states/eV/f.u. The formation energy from the elements is -0.223 eV per atom.

Cell and atoms, written as extended XYZ:
```
14
Lattice="6.965 0.000 -0.003 0.016 6.965 -0.003 -0.001 -0.001 6.430" Properties=species:S:1:pos:R:3 pbc="T T T"
Li 1.848 1.843 3.225
Li 1.759 5.217 3.212
Li 5.221 1.747 3.212
Li 1.772 5.204 -0.003
Li 5.208 1.760 -0.003
Li 5.132 5.120 3.199
Cd 2.447 2.441 6.408
Cd 4.533 4.522 0.016
Sn 6.974 6.958 4.884
Sn 3.475 0.007 1.617
Sn 0.015 3.475 1.617
Sn 3.504 6.957 4.807
Sn 6.965 3.489 4.807
Sn 0.005 0.005 1.540
```



Below is a relaxed structure of Li2Cd3Sn2, with properties calculated at the GGA-PBE level.

Values from the calculation:
For the density of states at the Fermi level, the calculation gives 2.531 states/eV/f.u. The formation energy from the elements is -0.143 eV per atom.

Cell and atoms, written as extended XYZ:
```
7
Lattice="-4.635 1.138 2.100 1.405 -4.082 0.860 3.937 2.855 5.582" Properties=species:S:1:pos:R:3 pbc="T T T"
Li -0.381 -2.024 2.327
Li 1.088 1.936 6.215
Cd 0.000 0.000 0.000
Cd 0.149 -1.057 5.453
Cd 0.559 0.968 3.089
Sn 2.970 -0.004 4.975
Sn -2.262 -0.085 3.567
```



Below is a relaxed structure of Li3Cd4Sn4, with properties calculated at the GGA-PBE level.

Values from the calculation:
For the density of states at the Fermi level, the calculation gives 1.915 states/eV/f.u. The formation energy from the elements is -0.129 eV per atom.

Cell and atoms, written as extended XYZ:
```
11
Lattice="3.535 0.030 -0.032 -0.045 4.918 0.802 -0.955 0.259 14.948" Properties=species:S:1:pos:R:3 pbc="T T T"
Li 0.401 3.396 10.996
Li 2.135 1.812 4.722
Li 2.536 5.208 15.718
Cd 0.419 0.668 12.294
Cd 0.369 1.431 7.185
Cd 2.166 3.777 8.533
Cd 2.117 4.540 3.424
Sn 1.224 2.933 13.937
Sn 1.312 2.274 1.781
Sn 0.332 4.142 5.910
Sn 2.204 1.066 9.808
```



Below is a relaxed structure of LiCd2Sn2, with properties calculated at the GGA-PBE level.

Values from the calculation:
For the density of states at the Fermi level, the calculation gives 1.726 states/eV/f.u. The formation energy from the elements is -0.065 eV per atom.

Cell and atoms, written as extended XYZ:
```
5
Lattice="4.894 -0.165 0.773 2.395 4.076 1.531 1.447 0.310 6.744" Properties=species:S:1:pos:R:3 pbc="T T T"
Li 6.341 0.145 7.517
Cd 2.238 0.588 1.976
Cd 6.498 3.633 7.072
Sn 4.613 1.752 3.109
Sn 4.122 2.470 5.939
```



Below is a relaxed structure of Li4CdSn5, with properties calculated at the GGA-PBE level.

Values from the calculation:
For the density of states at the Fermi level, the calculation gives 4.714 states/eV/f.u. The formation energy from the elements is -0.216 eV per atom.

Cell and atoms, written as extended XYZ:
```
10
Lattice="-1.864 -2.950 0.034 0.249 -0.198 -3.475 14.958 -9.432 1.609" Properties=species:S:1:pos:R:3 pbc="T T T"
Li 3.297 -2.079 0.355
Li 6.091 -3.841 0.655
Li 8.867 -5.591 0.954
Li 11.661 -7.354 1.254
Cd 0.000 0.000 0.000
Sn 0.967 -2.693 -1.529
Sn 3.878 -4.528 -1.216
Sn 6.672 -6.290 -0.916
Sn 9.465 -8.052 -0.616
Sn 12.376 -9.887 -0.303
```



Below is a relaxed structure of LiCd2Sn2, with properties calculated at the GGA-PBE level.

Values from the calculation:
For the density of states at the Fermi level, the calculation gives 1.513 states/eV/f.u. The formation energy from the elements is -0.039 eV per atom.

Cell and atoms, written as extended XYZ:
```
10
Lattice="5.046 0.000 0.000 0.000 3.257 0.000 -2.523 -1.628 15.546" Properties=species:S:1:pos:R:3 pbc="T T T"
Li 2.523 0.814 9.946
Li 0.000 0.814 5.599
Cd 2.523 2.443 7.172
Cd 0.000 -0.814 8.373
Cd 0.000 -0.814 11.176
Cd 2.523 2.443 4.370
Sn 2.523 0.814 1.396
Sn 2.523 -0.814 12.856
Sn 0.000 0.814 14.150
Sn 0.000 2.443 2.690
```



Below is a relaxed structure of LiCd6Sn2, with properties calculated at the GGA-PBE level.

Values from the calculation:
For the density of states at the Fermi level, the calculation gives 2.438 states/eV/f.u. The formation energy from the elements is -0.017 eV per atom.

Cell and atoms, written as extended XYZ:
```
9
Lattice="-2.581 -1.556 -1.918 1.294 -7.873 3.015 -6.277 5.127 2.658" Properties=species:S:1:pos:R:3 pbc="T T T"
Li 0.000 0.000 0.000
Cd -2.585 -4.337 0.385
Cd -4.979 0.035 3.370
Cd -5.096 -2.898 2.558
Cd -5.056 -0.094 0.269
Cd -2.508 -4.208 3.486
Cd -2.468 -1.404 1.197
Sn -1.195 -6.594 1.999
Sn -6.369 2.292 1.756
```



Below is a relaxed structure of Li4CdSn3, with properties calculated at the GGA-PBE level.

Values from the calculation:
For the density of states at the Fermi level, the calculation gives 3.550 states/eV/f.u. The formation energy from the elements is -0.302 eV per atom.

Cell and atoms, written as extended XYZ:
```
8
Lattice="3.356 0.000 0.000 0.000 3.356 0.000 0.000 0.000 14.090" Properties=species:S:1:pos:R:3 pbc="T T T"
Cd 1.678 1.678 0.000
Sn 1.678 1.678 3.413
Sn 1.678 1.678 7.045
Sn 1.678 1.678 10.678
Li 0.000 0.000 12.406
Li 0.000 0.000 1.684
Li 0.000 0.000 5.210
Li 0.000 0.000 8.881
```



Below is a relaxed structure of Li4Cd2Sn, with properties calculated at the GGA-PBE level.

Values from the calculation:
For the density of states at the Fermi level, the calculation gives 1.531 states/eV/f.u. The formation energy from the elements is -0.180 eV per atom.

Cell and atoms, written as extended XYZ:
```
14
Lattice="-5.176 5.265 0.468 -3.522 -3.605 1.605 4.584 -1.529 6.627" Properties=species:S:1:pos:R:3 pbc="T T T"
Li -3.868 0.914 2.407
Li 0.825 -3.596 6.805
Li -4.938 3.727 1.894
Li -5.578 -0.837 3.186
Li -3.303 3.358 4.653
Li 1.464 0.967 5.513
Li -0.245 -0.783 6.292
Li -0.810 -3.227 4.047
Cd -6.671 1.427 1.641
Cd 2.558 -1.297 7.058
Cd -0.374 0.012 3.566
Cd -3.740 0.118 5.134
Sn -2.871 -1.737 2.871
Sn -1.242 1.868 5.829
```



Below is a relaxed structure of Li2CdSn, with properties calculated at the GGA-PBE level.

Values from the calculation:
For the density of states at the Fermi level, the calculation gives 1.112 states/eV/f.u. The formation energy from the elements is -0.085 eV per atom.

Cell and atoms, written as extended XYZ:
```
8
Lattice="7.730 0.000 0.000 0.000 7.730 0.000 3.865 3.865 2.938" Properties=species:S:1:pos:R:3 pbc="T T T"
Li 5.749 1.932 0.734
Li 1.981 5.797 0.734
Li 5.797 5.846 2.203
Li 9.662 9.613 2.203
Sn 0.000 0.000 0.000
Sn 7.730 3.865 1.469
Cd 3.865 3.865 0.000
Cd 3.865 7.730 1.469
```



Below is a relaxed structure of LiCd2Sn, with properties calculated at the GGA-PBE level.

Values from the calculation:
For the density of states at the Fermi level, the calculation gives 1.734 states/eV/f.u. The formation energy from the elements is -0.163 eV per atom.

Cell and atoms, written as extended XYZ:
```
4
Lattice="4.462 0.000 0.000 0.000 4.428 0.000 0.000 0.000 4.428" Properties=species:S:1:pos:R:3 pbc="T T T"
Li 2.231 2.214 2.214
Sn 2.231 0.000 0.000
Cd 0.000 0.000 2.214
Cd 0.000 2.214 0.000
```



Below is a relaxed structure of Li5Cd3Sn, with properties calculated at the GGA-PBE level.

Values from the calculation:
For the density of states at the Fermi level, the calculation gives 2.276 states/eV/f.u. The formation energy from the elements is -0.078 eV per atom.

Cell and atoms, written as extended XYZ:
```
18
Lattice="8.788 2.473 -0.399 4.784 7.775 -0.399 3.535 2.669 6.650" Properties=species:S:1:pos:R:3 pbc="T T T"
Li 11.357 6.541 1.755
Li 6.156 5.959 -0.399
Li 14.895 11.247 5.635
Li 5.643 4.261 1.928
Li 11.464 8.656 3.923
Li 2.212 1.670 0.215
Li 9.400 9.132 1.755
Li 7.416 4.290 -0.399
Li 5.750 6.376 4.096
Li 7.707 3.785 4.096
Cd 9.205 6.951 -0.487
Cd 7.865 5.939 1.837
Cd 0.000 0.000 0.000
Cd 1.768 1.335 3.325
Cd 7.902 5.967 6.338
Cd 9.242 6.979 4.014
Sn 4.674 3.529 4.313
Sn 12.434 9.389 1.538
```



Question: Look up the formation energy from the elements of the seventh one.
Answer: -0.017 eV per atom



Question: Which of these has the lowest formation energy from the elements?
Answer: Li4CdSn3



Question: Among the records above, which one has the lowest formation energy from the elements?
Answer: Li4CdSn3